[1]
## Ac7La3Pr2 (PBE)

Data for Ac7La3Pr2 after structural relaxation.

Space-group type: No. 10

Unit cell a=3.8215 b=7.0320 c=19.3580 alpha=75.03 beta=90.00 gamma=90.00
Closest atoms and distances in Å follow each position.
Fractional positions:
1 Ac 0.5000 0.9445 0.8264  1 Pr 3.75, 8 Ac 3.82-4.02, 3 La 3.89-3.95
2 La 0.0000 0.1173 0.3417  2 La 3.82, 7 Ac 3.89-3.96, 4 Pr 3.94-4.07
3 Ac 0.0000 0.0000 0.0000  8 Ac 3.82-3.97, 4 La 4.00
4 Ac 0.0000 0.4445 0.8308  2 Pr 3.79, 7 Ac 3.82-4.02, 3 La 3.90-3.92
5 La 0.5000 0.5000 0.0000  2 La 3.82, 10 Ac 3.90-4.00
6 La 0.0000 0.8827 0.6583  2 La 3.82, 7 Ac 3.89-3.96, 4 Pr 3.94-4.07
7 Ac 0.5000 0.2433 0.5033  4 Ac 3.46-3.82, 2 Pr 3.59-3.66
8 Ac 0.5000 0.0555 0.1736  1 Pr 3.75, 8 Ac 3.82-4.02, 3 La 3.89-3.95
9 Ac 0.5000 0.7567 0.4967  4 Ac 3.46-3.82, 2 Pr 3.59-3.66
10 Ac 0.0000 0.5555 0.1692  2 Pr 3.79, 7 Ac 3.82-4.02, 3 La 3.90-3.92
11 Pr 0.5000 0.3860 0.6686  5 Ac 3.59-3.79, 2 Pr 3.82, 2 La 3.94
12 Pr 0.5000 0.6140 0.3314  5 Ac 3.59-3.79, 2 Pr 3.82, 2 La 3.94

---

[2]
## Ac3La2Pr7 (PBE)

Data for Ac3La2Pr7 after structural relaxation.

Space-group type: No. 10

Unit cell a=3.8456 b=6.0010 c=21.0435 alpha=90.00 beta=95.03 gamma=90.00
Closest atoms and distances in Å follow each position.
Fractional positions:
1 La 0.3658 0.5000 0.7175  3 Pr 3.20-3.53
2 Pr 0.2805 0.5000 0.5647  1 La 3.20, 2 Pr 3.32-3.33
3 Pr 0.9338 0.5000 0.8587  2 La 3.53, 2 Ac 3.53-3.54, 6 Pr 3.63-3.85
4 Ac 0.5000 0.5000 0.0000  8 Pr 3.53-3.56, 2 Ac 3.85
5 Ac 0.1798 0.0000 0.3667  4 Pr 3.83-3.86, 2 Ac 3.85, 4 La 3.97-3.99
6 Pr 0.0000 0.0000 0.0000  4 Ac 3.56, 2 Pr 3.85
7 Pr 0.4182 0.0000 0.8259  6 Pr 3.63-3.85, 2 La 3.76
8 Ac 0.8202 0.0000 0.6333  4 Pr 3.83-3.86, 2 Ac 3.85, 4 La 3.97-3.99
9 Pr 0.5818 0.0000 0.1741  6 Pr 3.63-3.85, 2 La 3.76
10 La 0.6342 0.5000 0.2825  3 Pr 3.20-3.53
11 Pr 0.0662 0.5000 0.1413  2 La 3.53, 2 Ac 3.53-3.54, 6 Pr 3.63-3.85
12 Pr 0.7195 0.5000 0.4353  1 La 3.20, 2 Pr 3.32-3.33

---

[3]
## AcLa8Pr2 (PBE)

Data for AcLa8Pr2 after structural relaxation.

Distance to the lowest polymorph of the same formula (meV per atom): 97
Space-group type: No. 12

Unit cell a=6.2233 b=9.5076 c=9.8567 alpha=61.17 beta=73.65 gamma=54.29
Closest atoms and distances in Å follow each position.
Fractional positions:
1 La 0.8099 0.0948 0.2414  4 La 3.33-3.70, 2 Pr 3.68-3.72
2 La 0.5000 0.7921 0.4158  4 Pr 3.58-3.89, 1 Ac 3.59, 6 La 3.70-3.85
3 Ac 0.5000 0.0000 0.0000  4 La 3.51-3.59
4 La 0.2961 0.4309 0.0000  4 La 3.11-3.47
5 La 0.8099 0.3361 0.7586  4 La 3.33-3.70, 2 Pr 3.68-3.72
6 Pr 0.0000 0.3107 0.3786  10 La 3.58-3.89
7 La 0.5000 0.2079 0.5842  4 Pr 3.58-3.89, 1 Ac 3.59, 6 La 3.70-3.85
8 La 0.1901 0.9052 0.7586  4 La 3.33-3.70, 2 Pr 3.68-3.72
9 La 0.1901 0.6639 0.2414  4 La 3.33-3.70, 2 Pr 3.68-3.72
10 Pr 0.0000 0.6893 0.6214  10 La 3.58-3.89
11 La 0.7039 0.5691 0.0000  4 La 3.11-3.47

---

[4]
## Ac4La4Pr3 (PBE)

Data for Ac4La4Pr3 after structural relaxation.

Space-group type: No. 71

Unit cell a=3.7502 b=12.0117 c=11.7402 alpha=120.77 beta=99.19 gamma=90.00
Closest atoms and distances in Å follow each position.
Fractional positions:
1 Pr 0.1045 0.1045 0.2089  4 La 3.66, 2 Pr 3.75, 4 Ac 3.90
2 La 0.3251 0.0599 0.6502  4 Ac 3.47-3.74, 4 La 3.54-3.75, 2 Pr 3.66
3 La 0.3251 0.5902 0.6502  4 Ac 3.47-3.74, 4 La 3.54-3.75, 2 Pr 3.66
4 Ac 0.2015 0.7015 0.4030  6 La 3.73-3.74, 2 Ac 3.75, 1 Pr 3.99
5 Pr 0.8955 0.8955 0.7911  4 La 3.66, 2 Pr 3.75, 4 Ac 3.90
6 Ac 0.5000 0.2262 0.0000  2 La 3.47, 2 Ac 3.75, 2 Pr 3.79
7 Ac 0.5000 0.7738 0.0000  2 La 3.47, 2 Ac 3.75, 2 Pr 3.79
8 La 0.6749 0.9401 0.3498  4 Ac 3.47-3.74, 4 La 3.54-3.75, 2 Pr 3.66
9 Ac 0.7985 0.2985 0.5970  6 La 3.73-3.74, 2 Ac 3.75, 1 Pr 3.99
10 La 0.6749 0.4098 0.3498  4 Ac 3.47-3.74, 4 La 3.54-3.75, 2 Pr 3.66
11 Pr 0.0000 0.5000 0.0000  2 Pr 3.75, 6 Ac 3.79-3.99

---

[5]
## Ac6LaPr3 (PBE)

Data for Ac6LaPr3 after structural relaxation.

Distance to the lowest polymorph of the same formula (meV per atom): 24
Space-group type: No. 36

Unit cell a=7.1666 b=11.6792 c=11.6792 alpha=120.75 beta=90.00 gamma=90.00
Closest atoms and distances in Å follow each position.
Fractional positions:
1 Pr 0.4352 0.9412 0.6945  1 La 3.33, 4 Ac 3.60-3.72
2 Pr 0.9352 0.0588 0.3055  1 La 3.33, 4 Ac 3.60-3.72
3 Ac 0.3241 0.9629 0.0371  4 Ac 3.89-4.15, 4 Pr 3.91-3.96, 1 La 3.92
4 Ac 0.8241 0.0371 0.9629  4 Ac 3.89-4.15, 4 Pr 3.91-3.96, 1 La 3.92
5 Ac 0.5691 0.6404 0.7082  3 Pr 3.60-3.74, 4 Ac 3.81-4.02
6 Ac 0.5691 0.2918 0.3596  3 Pr 3.60-3.74, 4 Ac 3.81-4.02
7 Pr 0.4352 0.3055 0.0588  1 La 3.33, 4 Ac 3.60-3.72
8 La 0.6377 0.8045 0.1955  2 Pr 3.33, 2 Ac 3.51
9 Ac 0.0691 0.3596 0.2918  3 Pr 3.60-3.74, 4 Ac 3.81-4.02
10 Ac 0.8685 0.4565 0.0509  2 La 3.51-3.88, 3 Ac 3.53-3.81, 3 Pr 3.60-3.76
11 Ac 0.0691 0.7082 0.6404  3 Pr 3.60-3.74, 4 Ac 3.81-4.02
12 Pr 0.1174 0.3793 0.6207  5 Ac 3.72-3.76, 1 La 3.73, 2 Pr 3.90
13 Pr 0.9352 0.6945 0.9412  1 La 3.33, 4 Ac 3.60-3.72
14 Pr 0.6174 0.6207 0.3793  5 Ac 3.72-3.76, 1 La 3.73, 2 Pr 3.90
15 Ac 0.3685 0.5435 0.9491  2 La 3.51-3.88, 3 Ac 3.53-3.81, 3 Pr 3.60-3.76
16 La 0.1377 0.1955 0.8045  2 Pr 3.33, 2 Ac 3.51
17 Ac 0.8685 0.9491 0.5435  2 La 3.51-3.88, 3 Ac 3.53-3.81, 3 Pr 3.60-3.76
18 Ac 0.6606 0.2928 0.7072  4 Ac 3.53-3.76, 1 Pr 3.72, 1 La 3.95
19 Ac 0.1606 0.7072 0.2928  4 Ac 3.53-3.76, 1 Pr 3.72, 1 La 3.95
20 Ac 0.3685 0.0509 0.4565  2 La 3.51-3.88, 3 Ac 3.53-3.81, 3 Pr 3.60-3.76

---

[6]
## Ac2La3Pr2 (PBE)

Data for Ac2La3Pr2 after structural relaxation.

Distance to the lowest polymorph of the same formula (meV per atom): 0
Space-group type: No. 12

Unit cell a=3.7251 b=9.0645 c=9.4888 alpha=118.34 beta=101.32 gamma=90.00
Closest atoms and distances in Å follow each position.
Fractional positions:
1 Ac 0.5657 0.9027 0.1315  3 Ac 3.64-3.73, 5 La 3.65-3.84, 4 Pr 3.97-4.00
2 La 0.2151 0.7964 0.4303  5 La 3.58-3.76, 3 Ac 3.65-3.84, 3 Pr 3.69-3.78
3 La 0.0000 0.5000 0.0000  4 La 3.58-3.73, 2 Pr 3.72, 4 Ac 3.74
4 Pr 0.1511 0.3422 0.3021  4 La 3.69-3.78, 4 Pr 3.73-3.87, 4 Ac 3.97-4.00
5 Ac 0.4343 0.0973 0.8685  3 Ac 3.64-3.73, 5 La 3.65-3.84, 4 Pr 3.97-4.00
6 La 0.7849 0.2036 0.5697  5 La 3.58-3.76, 3 Ac 3.65-3.84, 3 Pr 3.69-3.78
7 Pr 0.8489 0.6578 0.6979  4 La 3.69-3.78, 4 Pr 3.73-3.87, 4 Ac 3.97-4.00

---

[7]
## Ac2La3Pr2 (PBE)

Data for Ac2La3Pr2 after structural relaxation.

Distance to the lowest polymorph of the same formula (meV per atom): 38
Space-group type: No. 14

Unit cell a=11.3148 b=6.6485 c=13.5484 alpha=90.00 beta=90.00 gamma=146.72
Closest atoms and distances in Å follow each position.
Fractional positions:
1 La 0.5000 0.0000 0.0000  4 Ac 3.73-3.99, 4 Pr 3.77-3.87, 4 La 3.89-3.98
2 La 0.0000 0.0000 0.5000  4 Ac 3.73-3.99, 4 Pr 3.77-3.87, 4 La 3.89-3.98
3 La 0.3389 0.6889 0.2812  2 Pr 3.40-3.69, 3 Ac 3.53-3.77, 2 La 3.75
4 Pr 0.5757 0.7438 0.6021  3 La 3.40-3.77, 1 Pr 3.44, 4 Ac 3.62-3.79
5 Ac 0.1550 0.7431 0.6262  4 La 3.53-3.77, 4 Pr 3.62-3.79, 1 Ac 3.94
6 Ac 0.6550 0.7431 0.8738  4 La 3.53-3.77, 4 Pr 3.62-3.79, 1 Ac 3.94
7 Pr 0.0757 0.7438 0.8979  3 La 3.40-3.77, 1 Pr 3.44, 4 Ac 3.62-3.79
8 Pr 0.4243 0.2562 0.3979  3 La 3.40-3.77, 1 Pr 3.44, 4 Ac 3.62-3.79
9 Pr 0.9243 0.2562 0.1021  3 La 3.40-3.77, 1 Pr 3.44, 4 Ac 3.62-3.79
10 La 0.1611 0.3111 0.7812  2 Pr 3.40-3.69, 3 Ac 3.53-3.77, 2 La 3.75
11 Ac 0.8450 0.2569 0.3738  4 La 3.53-3.77, 4 Pr 3.62-3.79, 1 Ac 3.94
12 La 0.8389 0.6889 0.2188  2 Pr 3.40-3.69, 3 Ac 3.53-3.77, 2 La 3.75
13 Ac 0.3450 0.2569 0.1262  4 La 3.53-3.77, 4 Pr 3.62-3.79, 1 Ac 3.94
14 La 0.6611 0.3111 0.7188  2 Pr 3.40-3.69, 3 Ac 3.53-3.77, 2 La 3.75

---

[8]
## Ac7La4Pr (PBE)

Data for Ac7La4Pr after structural relaxation.

Distance to the lowest polymorph of the same formula (meV per atom): 0
Space-group type: No. 2

Unit cell a=7.7994 b=10.3364 c=9.7377 alpha=81.17 beta=89.84 gamma=41.03
Closest atoms and distances in Å follow each position.
Fractional positions:
1 Ac 0.2202 0.7798 0.6688  6 Ac 3.85-3.93, 1 Pr 3.85, 5 La 3.89-3.95
2 La 0.7188 0.7808 0.6672  8 Ac 3.86-3.90, 4 La 3.87-3.94
3 La 0.4739 0.2750 0.6687  8 Ac 3.83-3.95, 1 Pr 3.87, 3 La 3.88-3.94
4 La 0.5261 0.7250 0.3313  8 Ac 3.83-3.95, 1 Pr 3.87, 3 La 3.88-3.94
5 Ac 0.5000 0.0000 0.0000  4 La 3.85-3.87, 6 Ac 3.88-3.93, 2 Pr 3.90
6 Ac 0.7489 0.5021 0.0039  3 La 3.83-3.90, 7 Ac 3.85-3.93, 2 Pr 3.90-3.94
7 Ac 0.0270 0.7197 0.3337  6 La 3.87-3.93, 5 Ac 3.88-3.93, 1 Pr 3.90
8 La 0.2812 0.2192 0.3328  8 Ac 3.86-3.90, 4 La 3.87-3.94
9 Ac 0.9730 0.2803 0.6663  6 La 3.87-3.93, 5 Ac 3.88-3.93, 1 Pr 3.90
10 Ac 0.2511 0.4979 0.9961  3 La 3.83-3.90, 7 Ac 3.85-3.93, 2 Pr 3.90-3.94
11 Pr 0.0000 0.0000 0.0000  10 Ac 3.85-3.94, 2 La 3.87
12 Ac 0.7798 0.2202 0.3312  6 Ac 3.85-3.93, 1 Pr 3.85, 5 La 3.89-3.95

---

[9]
## Ac7La4Pr (PBE)

Data for Ac7La4Pr after structural relaxation.

Distance to the lowest polymorph of the same formula (meV per atom): 188
Space-group type: No. 12

Unit cell a=6.4786 b=10.5022 c=9.3160 alpha=61.87 beta=69.65 gamma=72.03
Closest atoms and distances in Å follow each position.
Fractional positions:
1 La 0.6712 0.6070 0.0506  7 Ac 3.49-3.90
2 Ac 0.2095 0.7744 0.8067  1 Pr 3.32, 2 La 3.49-3.52, 2 Ac 3.65-3.70
3 Pr 0.0000 0.0000 0.0000  4 Ac 3.24-3.32
4 Ac 0.5000 0.0000 0.0000  2 Pr 3.24
5 La 0.5708 0.3154 0.5429  1 La 3.45, 1 Ac 3.52
6 Ac 0.7905 0.2256 0.1933  1 Pr 3.32, 2 La 3.49-3.52, 2 Ac 3.65-3.70
7 Ac 0.9216 0.4259 0.7308  3 Ac 3.68-4.01, 5 La 3.71-3.99, 1 Pr 3.93
8 Ac 0.2037 0.1348 0.4579  4 Ac 3.65-4.01, 2 La 3.92
9 La 0.3288 0.3930 0.9494  7 Ac 3.49-3.90
10 Ac 0.7963 0.8652 0.5421  4 Ac 3.65-4.01, 2 La 3.92
11 La 0.4292 0.6846 0.4571  1 La 3.45, 1 Ac 3.52
12 Ac 0.0784 0.5741 0.2692  3 Ac 3.68-4.01, 5 La 3.71-3.99, 1 Pr 3.93

---

[10]
## Ac3La2Pr6 (PBE)

Data for Ac3La2Pr6 after structural relaxation.

Space-group type: No. 12

Unit cell a=6.3414 b=6.7804 c=12.3496 alpha=80.11 beta=68.46 gamma=62.12
Closest atoms and distances in Å follow each position.
Fractional positions:
1 Ac 0.3277 0.3447 0.0000  6 Pr 3.61-4.01, 5 Ac 3.68-3.93
2 Ac 0.6723 0.6553 0.0000  6 Pr 3.61-4.01, 5 Ac 3.68-3.93
3 Pr 0.5103 0.6885 0.7120  1 La 3.46, 3 Pr 3.67-3.76
4 Pr 0.1687 0.0000 0.2432  2 La 3.39, 3 Ac 3.54-3.61, 4 Pr 3.67-3.76
5 Pr 0.8313 0.0000 0.7568  2 La 3.39, 3 Ac 3.54-3.61, 4 Pr 3.67-3.76
6 La 0.1396 0.7207 0.5000  1 La 3.35, 4 Pr 3.39-3.46
7 Ac 0.0000 0.0000 0.0000  6 Pr 3.54-3.91, 6 Ac 3.78-3.93
8 La 0.8604 0.2793 0.5000  1 La 3.35, 4 Pr 3.39-3.46
9 Pr 0.8012 0.6885 0.2880  1 La 3.46, 3 Pr 3.67-3.76
10 Pr 0.4897 0.3115 0.2880  1 La 3.46, 3 Pr 3.67-3.76
11 Pr 0.1988 0.3115 0.7120  1 La 3.46, 3 Pr 3.67-3.76

---

[11]
## Ac7La2Pr3 (PBE)

Data for Ac7La2Pr3 after structural relaxation.

Space-group type: No. 10

Unit cell a=3.8183 b=7.0262 c=19.3472 alpha=74.89 beta=90.00 gamma=90.00
Closest atoms and distances in Å follow each position.
Fractional positions:
1 Ac 0.5000 0.7584 0.4946  4 Ac 3.46-3.82, 2 La 3.58-3.66, 2 Pr 3.86
2 Ac 0.5000 0.0552 0.1738  1 La 3.77, 8 Ac 3.82-4.04, 3 Pr 3.89-3.95
3 La 0.5000 0.6075 0.3315  5 Ac 3.58-3.80, 2 La 3.82, 2 Pr 3.90
4 Ac 0.0000 0.5538 0.1676  2 La 3.80, 7 Ac 3.82-4.04, 3 Pr 3.87-3.92
5 Ac 0.5000 0.9448 0.8262  1 La 3.77, 8 Ac 3.82-4.04, 3 Pr 3.89-3.95
6 Ac 0.5000 0.2416 0.5054  4 Ac 3.46-3.82, 2 La 3.58-3.66, 2 Pr 3.86
7 Ac 0.0000 0.0000 0.0000  8 Ac 3.82-3.97, 4 Pr 4.00
8 Pr 0.0000 0.8826 0.6585  2 Pr 3.82, 7 Ac 3.86-3.99, 4 La 3.90-4.11
9 La 0.5000 0.3925 0.6685  5 Ac 3.58-3.80, 2 La 3.82, 2 Pr 3.90
10 Pr 0.5000 0.5000 0.0000  2 Pr 3.82, 10 Ac 3.87-4.00
11 Ac 0.0000 0.4462 0.8324  2 La 3.80, 7 Ac 3.82-4.04, 3 Pr 3.87-3.92
12 Pr 0.0000 0.1174 0.3415  2 Pr 3.82, 7 Ac 3.86-3.99, 4 La 3.90-4.11

---

[12]
## AcLa6Pr4 (PBE)

Data for AcLa6Pr4 after structural relaxation.

Distance to the lowest polymorph of the same formula (meV per atom): 0
Space-group type: No. 137

Unit cell a=6.1694 b=11.6717 c=11.6717 alpha=90.00 beta=90.00 gamma=90.00
Closest atoms and distances in Å follow each position.
Fractional positions:
1 La 0.6313 0.5000 0.0000  2 La 3.08
2 La 0.3687 0.0000 0.5000  2 La 3.08
3 La 0.0000 0.7066 0.7066  2 La 3.40, 1 Ac 3.41, 2 Pr 3.56
4 Pr 0.0140 0.2103 0.0000  5 La 3.46-3.85, 2 Pr 3.48
5 La 0.8687 0.0000 0.5000  2 La 3.08
6 Pr 0.5140 0.5000 0.2897  5 La 3.46-3.85, 2 Pr 3.48
7 La 0.5000 0.7934 0.7934  2 La 3.40, 1 Ac 3.41, 2 Pr 3.56
8 La 0.5000 0.2066 0.2066  2 La 3.40, 1 Ac 3.41, 2 Pr 3.56
9 La 0.5000 0.7934 0.2066  2 La 3.40, 1 Ac 3.41, 2 Pr 3.56
10 Ac 0.5000 0.0000 0.0000  4 La 3.41
11 Pr 0.0140 0.7897 0.0000  5 La 3.46-3.85, 2 Pr 3.48
12 La 0.5000 0.2066 0.7934  2 La 3.40, 1 Ac 3.41, 2 Pr 3.56
13 Pr 0.9860 0.0000 0.7897  5 La 3.46-3.85, 2 Pr 3.48
14 La 0.0000 0.7066 0.2934  2 La 3.40, 1 Ac 3.41, 2 Pr 3.56
15 Pr 0.4860 0.2897 0.5000  5 La 3.46-3.85, 2 Pr 3.48
16 Pr 0.5140 0.5000 0.7103  5 La 3.46-3.85, 2 Pr 3.48
17 Pr 0.4860 0.7103 0.5000  5 La 3.46-3.85, 2 Pr 3.48
18 La 0.0000 0.2934 0.7066  2 La 3.40, 1 Ac 3.41, 2 Pr 3.56
19 La 0.1313 0.5000 0.0000  2 La 3.08
20 Pr 0.9860 0.0000 0.2103  5 La 3.46-3.85, 2 Pr 3.48
21 La 0.0000 0.2934 0.2934  2 La 3.40, 1 Ac 3.41, 2 Pr 3.56
22 Ac 0.0000 0.5000 0.5000  4 La 3.41

---

In order of appearance, magnetization = 0.00; 0.00; 0.00; 0.00; 0.00; 0.00; 0.00; 0.00; 0.01; 0.00; 0.00; 0.60 μB/f.u..
In order of appearance, E_tot = -4.342; -4.429; -4.718; -4.423; -4.247; -4.538; -4.501; -4.416; -4.229; -4.471; -4.329; -4.610 eV/atom.